The following is a PBE-GGA calculation of HfZrCl2 after structural relaxation, from Alexandria via LeMat-Bulk.

Cell and atoms, written as POSCAR:
```
HfZrCl2
1.0
1.853 0.000 9.058
-0.926 1.604 9.058
-0.926 -1.604 9.058
Hf Cl Zr
1 2 1
Cartesian
0.000 0.000 0.000
0.000 0.000 24.560
0.000 0.000 2.614
0.000 0.000 13.587
```

Output
The space group is No. 166. The value obtained for the energy relative to the lowest polymorph listed for this composition is 0.5180 eV per atom. The value obtained for the total energy is -6.303 eV/atom. As for the uncorrected formation energy: -755 meV/atom. The density of states at the Fermi level comes out at 0.591 states/eV per atom.